## Er2Ag3BiSe6 (GGA-PBE)

Data for Er2Ag3BiSe6 after structural relaxation.

abc: 4.156 8.114 9.135
angles: 100.69 103.15 90.00
Atoms (fractional coordinates):
Er 0.832 0.672 0.664
Er 0.168 0.328 0.336
Ag 0.500 0.500 0.000
Ag 0.831 0.182 0.662
Ag 0.169 0.818 0.338
Bi 0.500 0.000 0.000
Se 0.332 0.917 0.663
Se 0.669 0.573 0.337
Se 0.668 0.083 0.337
Se 0.002 0.260 0.004
Se 0.998 0.740 0.996
Se 0.331 0.427 0.663

Energy relative to the elements, uncorrected: -0.8567 eV per atom
Calculated density: 7.56 Mg/m³
Magnetization: 0.0 μB per cell
SG: C2/m, No. 12

=====

## SrNiHg2 (GGA-PBE)

Data for SrNiHg2 after structural relaxation.

abc: 3.656 3.656 7.187
angles: 90.00 90.00 90.00
Atoms (fractional coordinates):
Hg 0.000 0.000 0.040
Hg 0.500 0.500 0.302
Ni 0.000 0.000 0.424
Sr 0.500 0.500 0.734

Calculated density: 9.46 Mg/m³
Magnetization: 0.0 μB per cell
Energy of formation from the pure elements: -50 meV/atom
SG: P4mm, No. 99

=====

## AcSmTeI (GGA-PBE)

Data for AcSmTeI after structural relaxation.

abc: 5.613 5.613 5.613
angles: 60.00 60.00 60.00
Atoms (fractional coordinates):
I 0.000 0.000 0.000
Ac 0.750 0.750 0.750
Te 0.500 0.500 0.500
Sm 0.250 0.250 0.250

Energy relative to the elements, uncorrected: -1.0741 eV per atom
Calculated density: 8.39 Mg/m³
Magnetization: 0.0 μB per cell
SG: F-43m, No. 216

=====

## GaGeTeI2 (GGA-PBE)

Data for GaGeTeI2 after structural relaxation.

abc: 5.511 5.511 5.591
angles: 90.00 90.00 90.00
Atoms (fractional coordinates):
I 0.000 0.500 0.000
I 0.500 0.000 0.000
Ge 0.500 0.500 0.500
Te 0.000 0.000 0.500
Ga 0.000 0.000 0.000

Energy relative to the elements, uncorrected: 0.3296 eV per atom
Calculated density: 5.12 Mg/m³
Magnetization: 0.0 μB per cell
Energy relative to the lowest polymorph listed for this composition: 264 meV per atom
SG: P4/mmm, No. 123